[1]
The following is a DFT calculation (PBE) of crystalline ZnCd at its relaxed geometry.

a b c (Å): 4.7512 4.7512 5.5291
angles (deg): 90.00 90.00 120.00
Element x y z (fractional)
Cd: 0.3333 0.6667 0.7500
Zn: 0.6667 0.3333 0.7500
Zn: 0.3333 0.6667 0.2500
Cd: 0.6667 0.3333 0.2500

Computed properties:
Its total energy is -3.13 eV for the cell shown. The value obtained for the formation energy from the elements is 0.312 eV/atom.


[2]
The following is a DFT calculation (PBE) of crystalline PrDyH2 at its relaxed geometry.

a b c (Å): 3.5764 3.5764 6.1732
angles (deg): 73.16 73.16 60.00
Element x y z (fractional)
H: 0.7577 0.7577 0.7269
Dy: 0.5000 0.5000 0.5000
H: 0.2423 0.2423 0.2731
Pr: 0.0000 0.0000 0.0000

Computed properties:
Its total energy is -17.59 eV for the cell shown. The polymorph energy (0 for the lowest one) is 0.000 eV per atom.


[3]
The following is a DFT calculation (PBE) of crystalline ReHg2P at its relaxed geometry.

a b c (Å): 9.9886 9.9886 9.9886
angles (deg): 16.97 16.97 16.97
Element x y z (fractional)
P: 0.5000 0.5000 0.5000
Hg: 0.7483 0.7483 0.7483
Hg: 0.2517 0.2517 0.2517
Re: 0.0000 0.0000 0.0000

Computed properties:
Its total energy is -14.79 eV for the cell shown. The value obtained for the formation energy from the elements is 0.919 eV/atom.


[4]
The following is a DFT calculation (PBE) of crystalline Na6TlAg2 at its relaxed geometry.

a b c (Å): 4.6528 5.9600 10.6336
angles (deg): 105.01 90.00 112.98
Element x y z (fractional)
Na: 0.1668 0.3336 0.5575
Tl: 0.0000 0.0000 0.0000
Na: 0.2739 0.5478 0.8998
Na: 0.8332 0.6664 0.4425
Ag: 0.8245 0.6491 0.7334
Ag: 0.1755 0.3509 0.2666
Na: 0.7261 0.4522 0.1002
Na: 0.5229 0.0458 0.7436
Na: 0.4771 0.9542 0.2564

Computed properties:
Its total energy is -16.24 eV for the cell shown. The polymorph energy (0 for the lowest one) is 0.000 eV per atom. The value obtained for the formation energy from the elements is -0.028 eV/atom.


[5]
The following is a DFT calculation (PBE) of crystalline La3Pm2Dy8 at its relaxed geometry.

a b c (Å): 6.2618 6.2478 11.9426
angles (deg): 69.71 85.05 80.31
Element x y z (fractional)
La: 0.4616 0.3062 0.9217
Dy: 0.9244 0.6209 0.8421
Dy: 0.0756 0.3791 0.1579
Dy: 0.6928 0.4602 0.3863
La: 0.0000 0.0000 0.0000
Dy: 0.3072 0.5398 0.6137
Dy: 0.6131 0.0733 0.2349
Dy: 0.1516 0.7663 0.3108
Dy: 0.3869 0.9267 0.7651
Dy: 0.8484 0.2337 0.6892
Pm: 0.2313 0.1530 0.4624
Pm: 0.7687 0.8470 0.5376
La: 0.5384 0.6938 0.0783

Computed properties:
Its total energy is -60.77 eV for the cell shown. The polymorph energy (0 for the lowest one) is 0.000 eV per atom. The value obtained for the formation energy from the elements is 0.025 eV/atom.


[6]
The following is a DFT calculation (PBE) of crystalline LaPm4Pr at its relaxed geometry.

a b c (Å): 6.7451 6.7451 6.7451
angles (deg): 60.00 60.00 60.00
Element x y z (fractional)
La: 0.2500 0.2500 0.2500
Pm: 0.6252 0.6252 0.6252
Pm: 0.1243 0.6252 0.6252
Pr: 0.0000 0.0000 0.0000
Pm: 0.6252 0.6252 0.1243
Pm: 0.6252 0.1243 0.6252

Computed properties:
Its total energy is -27.26 eV for the cell shown. The polymorph energy (0 for the lowest one) is 0.228 eV per atom. The value obtained for the formation energy from the elements is 0.242 eV/atom.


[7]
The following is a DFT calculation (PBE) of crystalline Sc2CuHgPb at its relaxed geometry.

a b c (Å): 5.4962 4.8424 5.4962
angles (deg): 90.00 90.00 90.00
Element x y z (fractional)
Sc: 0.5000 0.0000 0.0000
Sc: 0.0000 0.0000 0.5000
Pb: 0.0000 0.0000 0.0000
Hg: 0.5000 0.5000 0.5000
Cu: 0.0000 0.5000 0.0000

Computed properties:
Its total energy is -18.32 eV for the cell shown. The value obtained for the formation energy from the elements is 0.491 eV/atom.


[8]
The following is a DFT calculation (PBE) of crystalline Sm2Cd3Cu at its relaxed geometry.

a b c (Å): 3.4537 4.8962 8.5017
angles (deg): 90.00 90.00 90.00
Element x y z (fractional)
Sm: 0.0000 0.0000 0.4855
Cu: 0.5000 0.5000 0.3321
Cd: 0.5000 0.0000 0.1726
Cd: 0.5000 0.5000 0.6570
Sm: 0.0000 0.5000 0.0209
Cd: 0.5000 0.0000 0.8319

Computed properties:
Its total energy is -17.86 eV for the cell shown. The value obtained for the formation energy from the elements is -0.264 eV/atom.


[9]
The following is a DFT calculation (PBE) of crystalline SmGdDyEr at its relaxed geometry.

a b c (Å): 5.6793 5.6793 5.6793
angles (deg): 60.00 60.00 60.00
Element x y z (fractional)
Gd: 0.7500 0.7500 0.7500
Dy: 0.0000 0.0000 0.0000
Er: 0.5000 0.5000 0.5000
Sm: 0.2500 0.2500 0.2500

Computed properties:
Its total energy is -27.50 eV for the cell shown. The value obtained for the formation energy from the elements is 0.116 eV/atom.


[10]
The following is a DFT calculation (PBE) of crystalline PrScInAg at its relaxed geometry.

a b c (Å): 5.2301 5.2301 5.2301
angles (deg): 60.00 60.00 60.00
Element x y z (fractional)
Pr: 0.0000 0.0000 0.0000
In: 0.7500 0.7500 0.7500
Ag: 0.2500 0.2500 0.2500
Sc: 0.5000 0.5000 0.5000

Computed properties:
Its total energy is -18.02 eV for the cell shown. The value obtained for the formation energy from the elements is -0.330 eV/atom.


[11]
The following is a DFT calculation (PBE) of crystalline Pm9Pr11Nd4 at its relaxed geometry.

a b c (Å): 3.7573 15.7523 15.7523
angles (deg): 113.09 90.00 90.00
Element x y z (fractional)
Pr: 0.0000 0.0000 0.0000
Nd: 0.5000 0.4444 0.2417
Pr: 0.0000 0.8399 0.1601
Pm: 0.5000 0.3675 0.8361
Pm: 0.5000 0.9359 0.7888
Pm: 0.5000 0.6325 0.1639
Pr: 0.0000 0.3675 0.6325
Pm: 0.5000 0.7888 0.9359
Nd: 0.5000 0.7583 0.5556
Nd: 0.5000 0.5556 0.7583
Nd: 0.5000 0.2417 0.4444
Pm: 0.5000 0.5000 0.5000
Pr: 0.0000 0.0428 0.4046
Pr: 0.0000 0.5954 0.9572
Pr: 0.0000 0.7103 0.7103
Pr: 0.0000 0.9572 0.5954
Pm: 0.5000 0.1639 0.6325
Pr: 0.0000 0.1601 0.8399
Pm: 0.5000 0.8361 0.3675
Pr: 0.0000 0.4046 0.0428
Pr: 0.0000 0.2897 0.2897
Pm: 0.5000 0.2112 0.0641
Pr: 0.0000 0.6325 0.3675
Pm: 0.5000 0.0641 0.2112

Computed properties:
Its total energy is -112.95 eV for the cell shown. The value obtained for the formation energy from the elements is 0.061 eV/atom.


[12]
The following is a DFT calculation (PBE) of crystalline PmIn2 at its relaxed geometry.

a b c (Å): 4.5308 4.5308 8.9859
angles (deg): 104.60 104.60 90.00
Element x y z (fractional)
In: 0.1690 0.6690 0.3380
In: 0.3310 0.8310 0.6620
In: 0.4190 0.4190 0.8380
Pm: 0.0000 0.0000 0.0000
Pm: 0.7500 0.2500 0.5000
In: 0.5810 0.5810 0.1620

Computed properties:
Its total energy is -22.50 eV for the cell shown. The polymorph energy (0 for the lowest one) is 0.076 eV per atom. The value obtained for the formation energy from the elements is -0.341 eV/atom.


[13]
The following is a DFT calculation (PBE) of crystalline AuSe2I6 at its relaxed geometry.

a b c (Å): 9.4895 10.5975 10.5975
angles (deg): 79.70 89.60 89.60
Element x y z (fractional)
I: 0.2505 0.8361 0.9382
Se: 0.2464 0.1900 0.3930
I: 0.5035 0.6786 0.6806
I: 0.4965 0.3214 0.3194
I: 0.7465 0.6474 0.0808
I: 0.7495 0.1639 0.0618
Au: 0.7500 0.9047 0.0953
I: 0.2495 0.0618 0.1639
I: 0.2535 0.3526 0.9192
I: 0.2465 0.0808 0.6474
Se: 0.7536 0.8100 0.6070
Au: 0.2500 0.0953 0.9047
I: 0.0035 0.6806 0.6786
Se: 0.2536 0.6070 0.8100
I: 0.9965 0.3194 0.3214
Se: 0.7464 0.3930 0.1900
I: 0.7505 0.9382 0.8361
I: 0.7535 0.9192 0.3526

Computed properties:
Its total energy is -38.09 eV for the cell shown. The polymorph energy (0 for the lowest one) is 0.009 eV per atom.


[14]
The following is a DFT calculation (PBE) of crystalline Sm4Dy11Sc9 at its relaxed geometry.

a b c (Å): 3.5033 14.9633 14.9633
angles (deg): 116.10 90.00 90.00
Element x y z (fractional)
Sc: 0.5000 0.0142 0.2026
Sc: 0.5000 0.2026 0.0142
Dy: 0.0000 0.8122 0.1878
Dy: 0.0000 0.3751 0.6249
Sm: 0.5000 0.2409 0.4166
Dy: 0.0000 0.4057 0.0335
Sm: 0.5000 0.7591 0.5834
Dy: 0.0000 0.1878 0.8122
Sc: 0.5000 0.7974 0.9858
Sc: 0.5000 0.1758 0.6139
Sm: 0.5000 0.4166 0.2409
Sc: 0.5000 0.6139 0.1758
Dy: 0.0000 0.0335 0.4057
Dy: 0.0000 0.5943 0.9665
Sc: 0.5000 0.8242 0.3861
Sc: 0.5000 0.3861 0.8242
Sm: 0.5000 0.5834 0.7591
Sc: 0.5000 0.9858 0.7974
Dy: 0.0000 0.6249 0.3751
Sc: 0.5000 0.5000 0.5000
Dy: 0.0000 0.7926 0.7926
Dy: 0.0000 0.2074 0.2074
Dy: 0.0000 0.9665 0.5943
Dy: 0.0000 0.0000 0.0000

Computed properties:
Its total energy is -124.69 eV for the cell shown. The value obtained for the formation energy from the elements is 0.075 eV/atom.


[15]
The following is a DFT calculation (PBE) of crystalline In2HgCl at its relaxed geometry.

a b c (Å): 6.1297 6.1297 5.4080
angles (deg): 90.00 90.00 32.21
Element x y z (fractional)
In: 0.7472 0.7472 0.6255
In: 0.9923 0.9923 0.1244
Hg: 0.2508 0.2508 0.1254
Cl: 0.5097 0.5097 0.6247

Computed properties:
Its total energy is -8.98 eV for the cell shown. The polymorph energy (0 for the lowest one) is 0.033 eV per atom.


[16]
The following is a DFT calculation (PBE) of crystalline La8Zn2Ga at its relaxed geometry.

a b c (Å): 5.4610 8.8601 8.7851
angles (deg): 119.68 108.11 90.00
Element x y z (fractional)
La: 0.0742 0.7210 0.1484
La: 0.8623 0.8037 0.7246
Zn: 0.7740 0.3887 0.5480
Zn: 0.2260 0.6113 0.4520
La: 0.4029 0.5591 0.8058
La: 0.9258 0.2790 0.8516
La: 0.3194 0.0335 0.6388
Ga: 0.5000 0.0000 0.0000
La: 0.5971 0.4409 0.1942
La: 0.1377 0.1963 0.2754
La: 0.6806 0.9665 0.3612

Computed properties:
Its total energy is -47.12 eV for the cell shown. The polymorph energy (0 for the lowest one) is 0.009 eV per atom. The value obtained for the formation energy from the elements is -0.193 eV/atom.


[17]
The following is a DFT calculation (PBE) of crystalline La6Tb5Pm at its relaxed geometry.

a b c (Å): 9.6955 6.2619 10.7493
angles (deg): 56.49 69.13 49.83
Element x y z (fractional)
La: 0.2503 0.5836 0.3344
Tb: 0.0000 0.6665 0.6664
La: 0.7491 0.0847 0.3345
La: 0.7497 0.4164 0.6656
Pm: 0.0000 0.0000 0.0000
La: 0.2509 0.2489 0.0000
Tb: 0.0000 0.3335 0.3336
La: 0.7491 0.7511 0.0000
Tb: 0.5000 0.5000 0.0000
Tb: 0.5000 0.1650 0.6668
La: 0.2509 0.9153 0.6655
Tb: 0.5000 0.8350 0.3332

Computed properties:
Its total energy is -57.24 eV for the cell shown. The value obtained for the formation energy from the elements is 0.019 eV/atom.


[18]
The following is a DFT calculation (PBE) of crystalline K2ZnRh at its relaxed geometry.

a b c (Å): 11.3545 11.3545 11.3545
angles (deg): 16.33 16.33 16.33
Element x y z (fractional)
K: 0.5089 0.5089 0.5089
Rh: 0.2500 0.2500 0.2500
Zn: 0.7500 0.7500 0.7500
K: 0.9911 0.9911 0.9911

Computed properties:
Its total energy is -8.23 eV for the cell shown. The value obtained for the formation energy from the elements is 0.648 eV/atom.


[19]
The following is a DFT calculation (PBE) of crystalline Cd2TcAg at its relaxed geometry.

a b c (Å): 5.1023 5.1023 5.1023
angles (deg): 130.87 130.87 72.02
Element x y z (fractional)
Cd: 0.0000 0.0000 0.0000
Tc: 0.5000 0.5000 0.0000
Ag: 0.7500 0.2500 0.5000
Cd: 0.2500 0.7500 0.5000

Computed properties:
Its total energy is -13.21 eV for the cell shown. The polymorph energy (0 for the lowest one) is 0.200 eV per atom. The value obtained for the formation energy from the elements is 0.458 eV/atom.


[20]
The following is a DFT calculation (PBE) of crystalline MgNb5Ru6 at its relaxed geometry.

a b c (Å): 4.4930 6.2142 7.7870
angles (deg): 113.44 105.67 90.01
Element x y z (fractional)
Mg: 0.0000 0.0000 0.0000
Nb: 0.3367 0.3314 0.6622
Ru: 0.1561 0.4138 0.3260
Ru: 0.8439 0.5862 0.6740
Nb: 0.6633 0.6686 0.3378
Ru: 0.4995 0.2526 0.9994
Ru: 0.8437 0.0881 0.6738
Nb: 0.6616 0.1661 0.3318
Ru: 0.5005 0.7474 0.0006
Nb: 0.0000 0.5000 0.0000
Ru: 0.1563 0.9119 0.3262
Nb: 0.3384 0.8339 0.6682

Computed properties:
Its total energy is -110.73 eV for the cell shown. The value obtained for the formation energy from the elements is -0.261 eV/atom.